Density functional theory data (PBE-GGA) for a relaxed CrFePt3 crystal.

a = 4.569 Å, b = 4.569 Å, c = 4.569 Å
α = 90.00°, β = 90.00°, γ = 90.00°
Space group Pm-3m (No. 221)
One atom of each set of equivalent atoms:
Cr 0.000 0.000 0.000 (multiplicity 1)
Fe 0.500 0.500 0.500 (multiplicity 1)
Pt 0.000 0.000 0.500 (multiplicity 3)

Values from the calculation:
DFT total energy: -6.144 eV/atom
DOS(E_F): 1.611 states/eV per atom
Energy relative to the elements: 1.097 eV per atom